# ZrMnH10O5F6, optimized geometry, DFT GGA+U
# Density: 2.587 g/cm³
# Total energy: -5.57 eV per atom
# Space-group type: C2
data_ZrMnH10O5F6
_space_group_name_H-M_alt 'P 1'
_space_group_IT_number 1
_cell_length_a 8.7700
_cell_length_b 8.7700
_cell_length_c 8.8051
_cell_angle_alpha 61.44
_cell_angle_beta 61.44
_cell_angle_gamma 51.56
loop_
_space_group_symop_operation_xyz
'x,y,z'
loop_
_atom_site_label
_atom_site_fract_x
_atom_site_fract_y
_atom_site_fract_z
F1 0.9045 0.9167 0.5698
F2 0.5019 0.5176 0.3560
F3 0.8195 0.2040 0.2633
F4 0.1601 0.5423 0.6155
F5 0.4824 0.4981 0.6440
F6 0.8269 0.4713 0.3831
F7 0.0833 0.0955 0.4302
F8 0.1963 0.8441 0.2551
F9 0.5287 0.1731 0.6169
F10 0.4577 0.8399 0.3845
F11 0.7960 0.1805 0.7367
F12 0.1559 0.8037 0.7449
H1 0.4935 0.8545 0.6858
H2 0.7475 0.7335 0.9887
H3 0.8005 0.8163 0.5589
H4 0.8919 0.8264 0.9029
H5 0.3907 0.1914 0.3775
H6 0.8025 0.4392 0.8834
H7 0.8086 0.6093 0.6225
H8 0.2755 0.4858 0.0494
H9 0.5829 0.5748 0.1302
H10 0.7015 0.1525 0.2232
H11 0.1455 0.5065 0.3142
H12 0.1837 0.1995 0.4411
H13 0.2826 0.8620 0.7745
H14 0.1736 0.1081 0.0971
H15 0.5142 0.7245 0.9506
H16 0.1380 0.7174 0.2255
H17 0.2665 0.2525 0.0113
H18 0.4252 0.4171 0.8698
H19 0.8475 0.2985 0.7768
H20 0.5608 0.1975 0.1166
O1 0.6266 0.1038 0.2183
O2 0.0972 0.6367 0.2196
O3 0.7410 0.7533 0.5525
O4 0.2467 0.2590 0.4475
O5 0.8962 0.3734 0.7817
O6 0.6340 0.6195 0.9985
O7 0.7965 0.7950 0.0116
O8 0.3805 0.3660 0.0015
O9 0.3633 0.9028 0.7804
O10 0.2050 0.2035 0.9884
Mn1 0.7644 0.7756 0.2751
Mn2 0.2244 0.2356 0.7249
Zr1 0.7433 0.2567 0.5000
Zr2 0.2430 0.7570 0.5000